1.
# MgBe2B, optimized geometry, DFT PBE-GGA
# Formation energy from the elements, eV per atom: 0.06
# DFT total energy, eV for the cell shown: -61.91
# Crystal system: orthorhombic
data_MgBe2B
_chemical_formula_sum 'Mg4 Be8 B4'
_cell_length_a 3.3644
_cell_length_b 5.8615
_cell_length_c 9.5059
_cell_angle_alpha 90.00
_cell_angle_beta 90.00
_cell_angle_gamma 90.00
_symmetry_space_group_name_H-M 'I m m m'
_symmetry_Int_Tables_number 71
_symmetry_space_group_name_Hall '-I 2 2'
loop_
_atom_site_label
_atom_site_fract_x
_atom_site_fract_y
_atom_site_fract_z
Mg1 0.0000 0.0000 0.0000
Mg2 0.0000 0.0000 0.5000
Be1 0.0000 0.3296 0.2160
B1 0.0000 0.0000 0.2515

=====

2.
# TbSc2Pb, optimized geometry, DFT PBE-GGA
# Formation energy from the elements, eV per atom: -0.26
# DFT total energy, eV for the cell shown: -22.04
# Crystal system: tetragonal
data_TbSc2Pb
_chemical_formula_sum 'Tb1 Sc2 Pb1'
_cell_length_a 4.6893
_cell_length_b 4.6893
_cell_length_c 4.6213
_cell_angle_alpha 90.00
_cell_angle_beta 90.00
_cell_angle_gamma 90.00
_symmetry_space_group_name_H-M 'P 4/m m m'
_symmetry_Int_Tables_number 123
_symmetry_space_group_name_Hall '-P 4 2'
loop_
_atom_site_label
_atom_site_fract_x
_atom_site_fract_y
_atom_site_fract_z
Tb1 0.0000 0.0000 0.0000
Sc1 0.0000 0.5000 0.5000
Pb1 0.5000 0.5000 0.0000

=====

3.
# Be3BiF, optimized geometry, DFT PBE-GGA
# Formation energy from raw total energies, kJ/mol of formula units: 522
# DFT total energy, eV for the cell shown: -11.52
# Crystal system: cubic
data_Be3BiF
_chemical_formula_sum 'Be3 Bi1 F1'
_cell_length_a 5.0071
_cell_length_b 5.0071
_cell_length_c 5.0071
_cell_angle_alpha 90.00
_cell_angle_beta 90.00
_cell_angle_gamma 90.00
_symmetry_space_group_name_H-M 'P m -3 m'
_symmetry_Int_Tables_number 221
_symmetry_space_group_name_Hall '-P 4 2 3'
loop_
_atom_site_label
_atom_site_fract_x
_atom_site_fract_y
_atom_site_fract_z
Be1 0.0000 0.0000 0.5000
Bi1 0.0000 0.0000 0.0000
F1 0.5000 0.5000 0.5000

=====

4.
# ReAsPtBr2, optimized geometry, DFT PBE-GGA
# Formation energy from raw total energies, kJ/mol of formula units: 541
# DFT total energy, eV for the cell shown: -20.88
# Crystal system: tetragonal
data_ReAsPtBr2
_chemical_formula_sum 'Re1 As1 Pt1 Br2'
_cell_length_a 4.9212
_cell_length_b 4.9212
_cell_length_c 5.0556
_cell_angle_alpha 90.00
_cell_angle_beta 90.00
_cell_angle_gamma 90.00
_symmetry_space_group_name_H-M 'P 4/m m m'
_symmetry_Int_Tables_number 123
_symmetry_space_group_name_Hall '-P 4 2'
loop_
_atom_site_label
_atom_site_fract_x
_atom_site_fract_y
_atom_site_fract_z
Re1 0.0000 0.0000 0.0000
As1 0.5000 0.5000 0.5000
Pt1 0.0000 0.0000 0.5000
Br1 0.0000 0.5000 0.0000

=====

5.
# RbAg4Sn4, optimized geometry, DFT PBE-GGA
# Formation energy from the elements, eV per atom: -0.03
# DFT total energy, eV for the cell shown: -57.24
# Crystal system: tetragonal
data_RbAg4Sn4
_chemical_formula_sum 'Rb2 Ag8 Sn8'
_cell_length_a 7.0017
_cell_length_b 7.0017
_cell_length_c 9.7843
_cell_angle_alpha 90.00
_cell_angle_beta 90.00
_cell_angle_gamma 90.00
_symmetry_space_group_name_H-M 'P 42/n m c'
_symmetry_Int_Tables_number 137
loop_
_symmetry_equiv_pos_as_xyz
'x,y,z'
'-x,-y,-z'
'-y+1/2,x,z+1/2'
'y+1/2,-x,-z+1/2'
'-x+1/2,-y+1/2,z'
'x+1/2,y+1/2,-z'
'y,-x+1/2,z+1/2'
'-y,x+1/2,-z+1/2'
'x+1/2,-y,-z'
'-x+1/2,y,z'
'-y,-x,-z+1/2'
'y,x,z+1/2'
'-x,y+1/2,-z'
'x,-y+1/2,z'
'y+1/2,x+1/2,-z+1/2'
'-y+1/2,-x+1/2,z+1/2'
loop_
_atom_site_label
_atom_site_fract_x
_atom_site_fract_y
_atom_site_fract_z
Rb1 0.2500 0.7500 0.2500
Ag1 0.0471 0.2500 0.0809
Sn1 0.0215 0.2500 0.3734

=====

6.
# PrY2Ag4, optimized geometry, DFT PBE-GGA
# Formation energy from the elements, eV per atom: -0.07
# DFT total energy, eV for the cell shown: -59.25
# Crystal system: tetragonal
data_PrY2Ag4
_chemical_formula_sum 'Pr2 Y4 Ag8'
_cell_length_a 7.3998
_cell_length_b 7.3998
_cell_length_c 6.9659
_cell_angle_alpha 90.00
_cell_angle_beta 90.00
_cell_angle_gamma 90.00
_symmetry_space_group_name_H-M 'I 4/m m m'
_symmetry_Int_Tables_number 139
_symmetry_space_group_name_Hall '-I 4 2'
loop_
_atom_site_label
_atom_site_fract_x
_atom_site_fract_y
_atom_site_fract_z
Pr1 0.0000 0.0000 0.0000
Y1 0.0000 0.5000 0.0000
Ag1 0.2500 0.2500 0.2500

=====

7.
# Ca2FeSb, optimized geometry, DFT PBE-GGA
# Formation energy from raw total energies, kJ/mol of formula units: -8
# DFT total energy, eV for the cell shown: -16.68
# Crystal system: tetragonal
data_Ca2FeSb
_chemical_formula_sum 'Ca2 Fe1 Sb1'
_cell_length_a 3.6036
_cell_length_b 3.6036
_cell_length_c 8.3434
_cell_angle_alpha 90.00
_cell_angle_beta 90.00
_cell_angle_gamma 90.00
_symmetry_space_group_name_H-M 'P 4 m m'
_symmetry_Int_Tables_number 99
loop_
_symmetry_equiv_pos_as_xyz
'x,y,z'
'-y,x,z'
'-x,-y,z'
'y,-x,z'
'-x,y,z'
'y,x,z'
'x,-y,z'
'-y,-x,z'
loop_
_atom_site_label
_atom_site_fract_x
_atom_site_fract_y
_atom_site_fract_z
Ca1 0.0000 0.0000 0.0000
Ca2 0.5000 0.5000 0.3740
Fe1 0.0000 0.0000 0.6226
Sb1 0.5000 0.5000 0.7451

=====

8.
# Zn12GaCu7, optimized geometry, DFT PBE-GGA
# Formation energy from the elements, eV per atom: -0.04
# DFT total energy, eV for the cell shown: -143.46
# Crystal system: trigonal
data_Zn12GaCu7
_chemical_formula_sum 'Zn36 Ga3 Cu21'
_cell_length_a 11.0496
_cell_length_b 11.0496
_cell_length_c 8.0073
_cell_angle_alpha 90.00
_cell_angle_beta 90.00
_cell_angle_gamma 120.00
_symmetry_space_group_name_H-M 'R -3'
_symmetry_Int_Tables_number 148
_symmetry_space_group_name_Hall '-R 3'
loop_
_atom_site_label
_atom_site_fract_x
_atom_site_fract_y
_atom_site_fract_z
Zn1 0.0524 0.8424 0.2456
Zn2 0.0560 0.8123 0.5845
Ga1 0.0000 0.0000 0.0000
Cu1 0.0000 0.0000 0.5000
Cu2 0.0641 0.8204 0.9195

=====

9.
# BaAl2Pt, optimized geometry, DFT PBE-GGA
# Formation energy from the elements, eV per atom: -0.01
# DFT total energy, eV for the cell shown: -15.49
# Crystal system: tetragonal
data_BaAl2Pt
_chemical_formula_sum 'Ba1 Al2 Pt1'
_cell_length_a 4.3523
_cell_length_b 4.3523
_cell_length_c 5.0796
_cell_angle_alpha 90.00
_cell_angle_beta 90.00
_cell_angle_gamma 90.00
_symmetry_space_group_name_H-M 'P 4/m m m'
_symmetry_Int_Tables_number 123
_symmetry_space_group_name_Hall '-P 4 2'
loop_
_atom_site_label
_atom_site_fract_x
_atom_site_fract_y
_atom_site_fract_z
Ba1 0.0000 0.0000 0.0000
Al1 0.0000 0.5000 0.5000
Pt1 0.5000 0.5000 0.0000

=====

10.
# Nd2MgP3Rh12, optimized geometry, DFT PBE-GGA
# Formation energy from the elements, eV per atom: -0.28
# DFT total energy, eV for the cell shown: -361.72
# Crystal system: trigonal
data_Nd2MgP3Rh12
_chemical_formula_sum 'Nd6 Mg3 P9 Rh36'
_cell_length_a 8.9263
_cell_length_b 8.9263
_cell_length_c 12.9369
_cell_angle_alpha 90.00
_cell_angle_beta 90.00
_cell_angle_gamma 120.00
_symmetry_space_group_name_H-M 'R -3 m'
_symmetry_Int_Tables_number 166
_symmetry_space_group_name_Hall '-R 3 2"'
loop_
_atom_site_label
_atom_site_fract_x
_atom_site_fract_y
_atom_site_fract_z
Nd1 0.0000 0.0000 0.1264
Mg1 0.0000 0.0000 0.5000
P1 0.0000 0.5000 0.0000
Rh1 0.0002 0.5001 0.1721
Rh2 0.0298 0.5149 0.3801

=====

11.
# TcNiMoOs2, optimized geometry, DFT PBE-GGA
# Formation energy from the elements, eV per atom: 1.70
# DFT total energy, eV for the cell shown: -40.94
# Crystal system: tetragonal
data_TcNiMoOs2
_chemical_formula_sum 'Tc1 Ni1 Mo1 Os2'
_cell_length_a 4.3812
_cell_length_b 4.3812
_cell_length_c 4.3325
_cell_angle_alpha 90.00
_cell_angle_beta 90.00
_cell_angle_gamma 90.00
_symmetry_space_group_name_H-M 'P 4/m m m'
_symmetry_Int_Tables_number 123
_symmetry_space_group_name_Hall '-P 4 2'
loop_
_atom_site_label
_atom_site_fract_x
_atom_site_fract_y
_atom_site_fract_z
Tc1 0.0000 0.0000 0.0000
Ni1 0.5000 0.5000 0.5000
Mo1 0.5000 0.5000 0.0000
Os1 0.0000 0.5000 0.5000

=====

12.
# ErTlP2Se6, optimized geometry, DFT PBE-GGA
# Formation energy from raw total energies, kJ/mol of formula units: -600
# DFT total energy, eV for the cell shown: -89.75
# Crystal system: monoclinic
data_ErTlP2Se6
_chemical_formula_sum 'Er2 Tl2 P4 Se12'
_cell_length_a 6.8104
_cell_length_b 7.5882
_cell_length_c 10.6100
_cell_angle_alpha 90.00
_cell_angle_beta 92.20
_cell_angle_gamma 90.00
_symmetry_space_group_name_H-M 'P 1 21 1'
_symmetry_Int_Tables_number 4
loop_
_symmetry_equiv_pos_as_xyz
'x,y,z'
'-x,y+1/2,-z'
loop_
_atom_site_label
_atom_site_fract_x
_atom_site_fract_y
_atom_site_fract_z
Er1 0.2163 0.0000 0.0021
Tl1 0.3191 0.2181 0.5053
P1 0.1942 0.7314 0.2864
P2 0.3195 0.5118 0.1701
Se1 0.0654 0.3097 0.8387
Se2 0.0795 0.3106 0.1631
Se3 0.1570 0.6362 0.4758
Se4 0.3751 0.6398 0.9832
Se5 0.3977 0.9169 0.7504
Se6 0.4047 0.9461 0.2629